A.
{
  "formula": "Ca2AcTb",
  "functional": "PBE-GGA",
  "state": "optimized geometry",
  "n_ef_per_ev_atom": 1.601,
  "total_magnetization_mub_per_fu": 0.682,
  "sg": "R-3m (166)",
  "cell": [[3.705, 0.000, 0.000], [1.853, 3.209, 0.000], [1.853, 1.070, 13.520]],
  "species": ["Ac", "Tb", "Ca", "Ca"],
  "frac_coords": [[0.500, 0.500, 0.500], [0.000, 0.000, 0.000], [0.915, 0.915, 0.256], [0.085, 0.085, 0.744]]
}


B.
{
  "formula": "Ca2AcTb",
  "functional": "PBE-GGA",
  "state": "optimized geometry",
  "n_ef_per_ev_atom": 1.350,
  "total_magnetization_mub_per_fu": 0.000,
  "sg": "P4/mmm (123)",
  "cell": [[-0.601, 2.447, -3.433], [-3.578, -2.130, -0.892], [-4.521, 5.593, 4.779]],
  "species": ["Tb", "Ac", "Ca", "Ca"],
  "frac_coords": [[0.500, 0.500, 0.500], [0.500, 0.500, 0.000], [0.000, 0.000, 0.270], [0.000, 0.000, 0.730]]
}


C.
{
  "formula": "Ca2AcTb",
  "functional": "PBE-GGA",
  "state": "optimized geometry",
  "n_ef_per_ev_atom": 1.613,
  "total_magnetization_mub_per_fu": 0.000,
  "sg": "P4/mmm (123)",
  "cell": [[-1.094, 4.548, -3.332], [-4.807, 0.340, 2.043], [1.816, 3.178, 3.742]],
  "species": ["Tb", "Ac", "Ca", "Ca"],
  "frac_coords": [[0.500, 0.500, 0.500], [0.500, 0.000, 0.000], [0.000, 0.500, 0.000], [0.000, 0.000, 0.500]]
}


Verdict on stability: A comes out at the bottom.